[1]
First-principles (PBE-GGA) data for a relaxed structure of Zr3RePd, as listed in Alexandria.

Cell: 5.0372 5.0372 5.0372 Å, 90.00 90.00 90.00°
Closest atoms and distances in Å follow each position.
Element x y z (fractional)
Re1 0.0000 0.0000 0.0000  6 Zr 2.52
Zr1 0.0000 0.0000 0.5000  2 Re 2.52
Zr2 0.5000 0.0000 0.0000  2 Re 2.52
Zr3 0.0000 0.5000 0.0000  2 Re 2.52
Pd1 0.5000 0.5000 0.5000  12 Zr 3.56

Calculated values
The density of states at the Fermi level is 7.79 states/eV/cell. As for the crystal system: cubic. As for the formation energy from the elements: 0.596 eV per atom. Its total energy is -8.061 eV per atom.


[2]
First-principles (PBE-GGA) data for a relaxed structure of Zr3TiPd2, as listed in Alexandria.

Cell: 3.1741 4.8563 7.8454 Å, 108.03 90.00 90.00°
Closest atoms and distances in Å follow each position.
Element x y z (fractional)
Ti1 0.0000 0.0000 0.0000  8 Zr 2.90-3.01, 2 Ti 3.17
Zr1 0.5000 0.5000 0.0000  4 Pd 2.81, 4 Ti 2.90
Zr2 0.5000 0.1714 0.3428  6 Pd 2.91-3.03, 2 Ti 3.01, 2 Zr 3.17
Zr3 0.5000 0.8286 0.6572  6 Pd 2.91-3.03, 2 Ti 3.01, 2 Zr 3.17
Pd1 0.0000 0.3445 0.6890  8 Zr 2.81-3.03
Pd2 0.0000 0.6555 0.3110  8 Zr 2.81-3.03

Calculated values
The density of states at the Fermi level is 7.22 states/eV/cell. As for the crystal system: orthorhombic. As for the formation energy from the elements: -0.383 eV per atom. Its total energy is -7.703 eV per atom.


[3]
First-principles (PBE-GGA) data for a relaxed structure of ThSbAuS, as listed in Alexandria.

Cell: 4.5565 4.5565 8.9840 Å, 90.00 90.00 90.00°
Closest atoms and distances in Å follow each position.
Element x y z (fractional)
S1 0.0000 0.0000 0.5000  4 Th 2.85
S2 0.5000 0.5000 0.5000  4 Th 2.85
Sb1 0.0000 0.5000 0.8080  4 Au 2.86
Sb2 0.5000 0.0000 0.1920  4 Au 2.86
Au1 0.5000 0.5000 0.0000  4 Sb 2.86
Au2 0.0000 0.0000 0.0000  4 Sb 2.86
Th1 0.5000 0.0000 0.6912  4 S 2.85
Th2 0.0000 0.5000 0.3088  4 S 2.85

Calculated values
The density of states at the Fermi level is 0.53 states/eV/cell. As for the crystal system: tetragonal. Its total energy is -5.797 eV per atom. For the uncorrected formation energy, the calculation gives -1.06 eV/atom.


[4]
First-principles (PBE-GGA) data for a relaxed structure of BaCa2ScCu, as listed in Alexandria.

Cell: 5.8055 5.8055 5.2269 Å, 90.00 90.00 90.00°
Closest atoms and distances in Å follow each position.
Element x y z (fractional)
Cu1 0.0000 0.0000 0.0000  2 Sc 2.61, 4 Ca 2.90
Ca1 0.5000 0.0000 0.0000  2 Cu 2.90
Ca2 0.0000 0.5000 0.0000  2 Cu 2.90
Sc1 0.0000 0.0000 0.5000  2 Cu 2.61
Ba1 0.5000 0.5000 0.5000  8 Ca 3.91, 4 Sc 4.11

Calculated values
The density of states at the Fermi level is 5.31 states/eV/cell. As for the crystal system: tetragonal. As for the formation energy from the elements: 0.088 eV per atom. Its total energy is -3.182 eV per atom.


[5]
First-principles (PBE-GGA) data for a relaxed structure of ZnMoRh2, as listed in Alexandria.

Cell: 8.7500 8.7500 8.7500 Å, 18.41 18.41 18.41°
Closest atoms and distances in Å follow each position.
Element x y z (fractional)
Zn1 0.2500 0.2500 0.2500  6 Rh 2.69, 6 Zn 2.80
Rh1 0.0000 0.0000 0.0000  3 Zn 2.69, 3 Mo 2.69, 6 Rh 2.80
Rh2 0.5000 0.5000 0.5000  3 Zn 2.69, 3 Mo 2.69, 6 Rh 2.80
Mo1 0.7500 0.7500 0.7500  6 Rh 2.69, 6 Mo 2.80

Calculated values
The density of states at the Fermi level is 4.94 states/eV/cell. As for the crystal system: trigonal. As for the formation energy from the elements: -0.194 eV per atom. Its total energy is -6.896 eV per atom.


[6]
First-principles (PBE-GGA) data for a relaxed structure of CrBS2Cl, as listed in Alexandria.

Cell: 4.1774 4.1774 4.2190 Å, 90.00 90.00 90.00°
Closest atoms and distances in Å follow each position.
Element x y z (fractional)
S1 0.0000 0.5000 0.0000  2 B 2.09
S2 0.5000 0.0000 0.0000  2 B 2.09
Cl1 0.0000 0.0000 0.5000  2 B 2.11
Cr1 0.5000 0.5000 0.5000  4 Cl 2.95, 8 S 2.97
B1 0.0000 0.0000 0.0000  4 S 2.09, 2 Cl 2.11

Calculated values
The density of states at the Fermi level is 5.17 states/eV/cell. As for the crystal system: tetragonal. Its total energy is -4.325 eV per atom. For the uncorrected formation energy, the calculation gives 0.96 eV/atom.


[7]
First-principles (PBE-GGA) data for a relaxed structure of SrInGaHIr, as listed in Alexandria.

Cell: 4.4902 4.4902 16.8751 Å, 90.00 90.00 120.00°
Closest atoms and distances in Å follow each position.
Element x y z (fractional)
Ir1 0.0000 0.0000 0.4089  1 H 1.64
Ir2 0.6667 0.3333 0.7422  1 H 1.64
Ir3 0.3333 0.6667 0.0756  1 H 1.64
Ga1 0.6667 0.3333 0.4445  3 Ir 2.66
Ga2 0.0000 0.0000 0.1112  3 Ir 2.66
Ga3 0.3333 0.6667 0.7778  3 Ir 2.66
In1 0.0000 0.0000 0.6884  3 H 2.69, 3 Ir 2.75, 3 Ga 3.00
In2 0.3333 0.6667 0.3550  3 H 2.69, 3 Ir 2.75, 3 Ga 3.00
In3 0.6667 0.3333 0.0217  3 H 2.69, 3 Ir 2.75, 3 Ga 3.00
H1 0.0000 0.0000 0.3114  1 Ir 1.64
H2 0.3333 0.6667 0.9781  1 Ir 1.64
H3 0.6667 0.3333 0.6448  1 Ir 1.64
Sr1 0.3333 0.6667 0.5632  3 H 2.94, 3 Ga 3.28
Sr2 0.6667 0.3333 0.2298  3 H 2.94, 3 Ga 3.28
Sr3 0.0000 0.0000 0.8965  3 H 2.94, 3 Ga 3.28

Calculated values
The density of states at the Fermi level is 8.73 states/eV/cell. As for the crystal system: trigonal. Its total energy is -4.271 eV per atom.


[8]
First-principles (PBE-GGA) data for a relaxed structure of TaBeIO2, as listed in Alexandria.

Cell: 3.8394 3.8394 4.6560 Å, 90.00 90.00 90.00°
Closest atoms and distances in Å follow each position.
Element x y z (fractional)
O1 0.5000 0.0000 0.0000  2 Be 1.92
O2 0.0000 0.5000 0.0000  2 Be 1.92
Ta1 0.5000 0.5000 0.5000  4 I 2.71, 8 O 3.02
Be1 0.0000 0.0000 0.0000  4 O 1.92
I1 0.0000 0.0000 0.5000  2 Be 2.33

Calculated values
The density of states at the Fermi level is 2.71 states/eV/cell. As for the crystal system: tetragonal. Its total energy is -5.203 eV per atom. For the uncorrected formation energy, the calculation gives 0.21 eV/atom.


[9]
First-principles (PBE-GGA) data for a relaxed structure of Li2Pm4H, as listed in Alexandria.

Cell: 4.8606 4.8606 8.4880 Å, 73.36 73.36 90.00°
Closest atoms and distances in Å follow each position.
Element x y z (fractional)
H1 0.0000 0.0000 0.0000  4 Pm 2.43
Li1 0.3729 0.3729 0.2541  5 Pm 3.01-3.13
Li2 0.6271 0.6271 0.7459  5 Pm 3.01-3.13
Pm1 0.0000 0.5000 0.0000  2 H 2.43
Pm2 0.1789 0.1789 0.6422  1 H 2.78, 1 Li 3.01
Pm3 0.8211 0.8211 0.3578  1 H 2.78, 1 Li 3.01
Pm4 0.5000 0.0000 0.0000  2 H 2.43

Calculated values
The density of states at the Fermi level is 9.85 states/eV/cell. As for the crystal system: tetragonal. Its total energy is -3.639 eV per atom.


[10]
First-principles (PBE-GGA) data for a relaxed structure of NdUIr4, as listed in Alexandria.

Cell: 5.3879 5.3879 5.3879 Å, 60.00 60.00 60.00°
Closest atoms and distances in Å follow each position.
Element x y z (fractional)
Ir1 0.6251 0.6251 0.1247  6 Ir 2.69-2.70
Ir2 0.6251 0.1247 0.6251  6 Ir 2.69-2.70
Ir3 0.1247 0.6251 0.6251  6 Ir 2.69-2.70
Ir4 0.6251 0.6251 0.6251  6 Ir 2.69-2.70
U1 0.0000 0.0000 0.0000  12 Ir 3.16, 4 Nd 3.30
Nd1 0.2500 0.2500 0.2500  12 Ir 3.16, 4 U 3.30

Calculated values
The density of states at the Fermi level is 7.53 states/eV/cell. As for the crystal system: cubic. As for the formation energy from the elements: -0.577 eV per atom. Its total energy is -9.161 eV per atom.


[11]
First-principles (PBE-GGA) data for a relaxed structure of LiY2Mn, as listed in Alexandria.

Cell: 7.4663 7.4663 6.1836 Å, 52.86 52.86 90.00°
Closest atoms and distances in Å follow each position.
Element x y z (fractional)
Mn1 0.7500 0.2500 0.5000  4 Y 2.65
Mn2 0.0000 0.0000 0.0000  4 Y 2.65
Y1 0.6468 0.1250 0.2500  2 Mn 2.65, 2 Li 2.87
Y2 0.8750 0.8968 0.7500  2 Mn 2.65, 2 Li 2.87
Y3 0.1032 0.6250 0.2500  2 Mn 2.65, 2 Li 2.87
Y4 0.3750 0.3532 0.7500  2 Mn 2.65, 2 Li 2.87
Li1 0.5000 0.5000 0.0000  4 Y 2.87
Li2 0.2500 0.7500 0.5000  4 Y 2.87

Calculated values
The density of states at the Fermi level is 8.41 states/eV/cell. As for the crystal system: tetragonal. As for the formation energy from the elements: 0.629 eV per atom. Its total energy is -5.374 eV per atom.


[12]
First-principles (PBE-GGA) data for a relaxed structure of Ca2TaTl, as listed in Alexandria.

Cell: 3.2372 3.2367 10.3498 Å, 90.00 90.00 90.03°
Closest atoms and distances in Å follow each position.
Element x y z (fractional)
Ca1 0.5000 0.5000 0.2866  4 Ca 3.24, 4 Ta 3.34
Ca2 0.0000 0.0000 0.9615  4 Ca 3.24, 4 Tl 3.31-3.32
Tl1 0.5000 0.5000 0.7298  4 Ta 3.14, 4 Tl 3.24, 4 Ca 3.31-3.32
Ta1 0.0000 0.0000 0.5220  4 Tl 3.14, 4 Ta 3.24, 4 Ca 3.34

Calculated values
The density of states at the Fermi level is 4.65 states/eV/cell. As for the crystal system: tetragonal. As for the formation energy from the elements: 0.387 eV per atom. Its total energy is -4.168 eV per atom.